Record 1
Y2ScTlH | Alexandria | GGA-PBE | optimized geometry; space group = No. 123; magnetization = 1.71 μB/cell
1.0
-2.2425 1.1139 -4.0942
-2.0878 -4.3211 -0.0321
-3.5903 1.7167 2.4335
Tl H Y Sc
1 1 2 1
Cartesian
-3.9603 -0.7453 -0.8464
0.0000 0.0000 0.0000
-1.1212 0.5569 -2.0471
-1.0439 -2.1605 -0.0160
-1.7951 0.8583 1.2167

Record 2
Sc2TlZnH | Alexandria | GGA-PBE | optimized geometry; space group = No. 123; magnetization = 1.07 μB/cell
1.0
4.4307 0.0000 0.0000
0.0000 4.4307 0.0000
0.0000 0.0000 4.2939
Sc Zn Tl H
2 1 1 1
Cartesian
2.2153 0.0000 0.0000
0.0000 2.2153 0.0000
0.0000 0.0000 2.1470
2.2153 2.2153 2.1470
0.0000 0.0000 0.0000

Record 3
ZrSc2TlH | Alexandria | GGA-PBE | optimized geometry; space group = No. 123; magnetization = 0.00 μB/cell
1.0
4.5318 0.0000 0.0000
0.0000 4.5318 0.0000
0.0000 0.0000 4.4204
Sc Tl H Zr
2 1 1 1
Cartesian
2.2659 0.0000 0.0000
0.0000 2.2659 0.0000
2.2659 2.2659 2.2102
0.0000 0.0000 0.0000
0.0000 0.0000 2.2102

Record 4
Tm3ScH8 | Alexandria | GGA-PBE | optimized geometry; space group = No. 221; magnetization = 0.00 μB/cell
1.0
4.9894 0.0000 0.0000
0.0000 4.9894 0.0000
0.0000 0.0000 4.9894
H Tm Sc
8 3 1
Cartesian
3.7786 1.2107 1.2107
3.7786 1.2107 3.7786
1.2107 1.2107 3.7786
3.7786 3.7786 1.2107
1.2107 3.7786 3.7786
3.7786 3.7786 3.7786
1.2107 3.7786 1.2107
1.2107 1.2107 1.2107
2.4947 0.0000 2.4947
2.4947 2.4947 0.0000
0.0000 2.4947 2.4947
0.0000 0.0000 0.0000

Record 5
Tm3Sc5H12 | Alexandria | GGA-PBE | optimized geometry; space group = No. 230; magnetization = 0.01 μB/cell
1.0
-9.1178 -5.3816 0.9949
7.2019 -3.9486 6.7547
-1.6825 10.2642 2.2135
H Sc Tm
48 20 12
Cartesian
-0.9083 5.4064 5.0188
5.3017 -0.3497 7.0194
0.5736 -4.0932 5.1031
-3.8273 0.7264 4.9535
2.9149 2.1000 6.2272
-4.6368 -5.7417 5.2675
-3.7492 -2.3714 2.3478
-2.4300 0.0668 3.0781
-1.1742 -7.5316 7.1202
0.2384 -2.2337 7.2590
-4.5345 -2.3119 4.5580
0.2289 0.2077 5.0097
-5.2029 2.4945 6.7422
-2.1513 6.2131 2.2454
-6.2492 3.9667 5.1165
0.1264 1.2071 1.6457
-1.4356 -1.3311 5.8849
-5.8372 -1.4553 1.5078
1.6045 -1.5605 3.2209
5.6276 -2.6466 6.6675
1.8254 -0.5303 6.5627
-0.3951 -2.7856 3.2985
-6.5133 -1.1660 3.7359
-6.5162 -3.5854 3.9617
0.1508 3.3055 7.6153
-3.7248 -0.2730 8.3175
1.0384 6.6758 4.6956
2.9179 4.5194 6.0014
0.3188 -0.1006 8.4202
2.6508 -3.0326 4.8466
2.2388 2.3894 8.4553
0.9361 3.2460 5.4051
-3.8368 3.1677 2.7041
-2.6901 -4.4723 4.9443
-4.1720 5.0273 4.8600
-1.1684 0.8673 6.8850
-0.3862 3.4386 2.1586
-2.1628 2.2652 4.0783
-8.9001 1.2838 2.9438
-3.9172 1.0347 1.5429
-3.2033 3.7197 6.6646
-2.4242 8.4656 2.8429
-5.4238 1.4644 3.4004
-1.4471 -5.2790 7.7177
-3.2121 -2.5045 7.8046
-5.6004 -3.8536 1.8182
2.0020 4.7877 8.1450
-9.2259 3.5806 3.2957
-1.7694 2.6563 7.6247
0.1824 -4.2524 7.0856
-1.8290 -1.7222 2.3385
-0.8412 5.1321 1.1067
-2.9681 -2.6550 5.7979
-1.7992 0.4670 4.9816
-4.5589 -2.6908 0.4975
1.1404 0.4126 3.2108
-4.7387 0.5214 6.7524
-0.6303 3.5890 4.1652
-5.4001 2.4413 1.6042
-7.4103 4.4515 3.5273
3.6009 -1.9743 3.3774
3.8119 -3.5174 6.4358
-7.2291 0.7191 3.9427
0.0000 0.0000 0.0000
-0.9580 -4.6651 3.8748
-3.7808 5.1865 2.8775
3.6307 0.2149 6.0205
2.7597 3.1578 4.4841
-0.8114 7.3214 3.7498
-2.7870 -6.3873 6.2133
-7.4984 -2.6364 2.2683
-4.3479 -4.2339 3.5559
0.7496 5.1679 6.4072
-4.2598 2.8540 4.8150
3.9001 3.5704 7.6949
-2.0101 2.0101 1.9231
-4.5291 -0.5015 3.1406
0.9307 1.4356 6.8226
-1.5882 -1.0761 8.0400
0.6614 -1.9199 5.1482

Record 6
TmSc3H | Alexandria | GGA-PBE | optimized geometry; space group = No. 221; magnetization = 0.00 μB/cell
1.0
-3.9863 -0.3823 -2.3652
-1.8793 -2.3489 3.5470
-1.4861 3.9959 1.8588
Sc Tm H
3 1 1
Cartesian
-0.7431 1.9979 0.9294
-1.9931 -0.1912 -1.1826
-0.9396 -1.1745 1.7735
-3.6758 0.6323 1.5203
0.0000 0.0000 0.0000

Record 7
TmScH4 | Alexandria | GGA-PBE | optimized geometry; space group = No. 141; magnetization = 0.00 μB/cell
1.0
4.4687 0.0000 -2.0096
-0.9037 4.3764 -2.0096
0.0301 0.0370 6.0404
H Sc Tm
8 2 2
Cartesian
0.8808 3.8955 -1.0280
2.7607 0.5748 2.9970
0.4101 0.5748 4.0540
2.3088 2.7630 1.9922
-0.0417 2.7630 3.0493
3.5905 1.5935 -0.9757
3.1152 3.8955 -2.0327
1.3562 1.5935 0.0291
0.0000 0.0000 0.0000
3.1407 1.1126 1.0107
0.4545 3.3008 1.0107
1.7825 2.1882 -2.0096

Record 8
TmSc2H | Alexandria | GGA-PBE | optimized geometry; space group = No. 123; magnetization = 0.00 μB/cell
1.0
-1.6004 -1.0772 2.4639
-1.5100 -2.0124 -1.8607
5.7090 -5.4921 1.3070
H Sc Tm
1 2 1
Cartesian
-1.5552 -1.5448 0.3016
4.6503 -4.4736 1.0646
1.0587 -1.0185 0.2424
1.2993 -4.2909 0.9551

Record 9
TmSc2H | Alexandria | GGA-PBE | optimized geometry; space group = No. 166; magnetization = 0.00 μB/cell
1.0
3.3565 0.0000 0.0000
1.6782 2.9068 0.0000
1.6782 0.9689 7.9924
H Tm Sc
1 1 2
Cartesian
0.0000 0.0000 0.0000
3.3565 1.9379 3.9962
1.6782 0.9689 1.2349
5.0347 2.9068 6.7575

Record 10
TmSc2H7 | Alexandria | GGA-PBE | optimized geometry; space group = No. 139; magnetization = 0.00 μB/cell
1.0
-2.9704 0.1788 1.6886
1.1509 -2.2897 2.2670
3.5695 6.4583 2.1290
Sc H Tm
2 7 1
Cartesian
-0.0069 0.7786 3.3719
1.7568 3.5687 2.7126
0.6772 4.4820 4.1832
2.7379 3.2478 4.4724
-0.1554 2.7908 2.8977
1.0727 -0.1347 1.9014
-0.9098 -1.0555 1.9778
-0.9879 1.0996 1.6122
1.9053 1.5566 3.1869
0.0000 0.0000 0.0000

Record 11
TmSc3H8 | Alexandria | GGA-PBE | optimized geometry; space group = No. 221; magnetization = 0.00 μB/cell
1.0
4.8308 0.0000 0.0000
0.0000 4.8308 0.0000
0.0000 0.0000 4.8308
H Sc Tm
8 3 1
Cartesian
1.2443 1.2443 1.2443
1.2443 3.5865 3.5866
3.5865 3.5865 3.5866
1.2443 1.2443 3.5866
3.5865 1.2443 1.2443
1.2443 3.5865 1.2443
3.5865 3.5865 1.2443
3.5865 1.2443 3.5866
2.4154 2.4154 0.0000
2.4154 0.0000 2.4154
0.0000 2.4154 2.4154
0.0000 0.0000 0.0000

Record 12
TmSc2H8 | Alexandria | GGA-PBE | optimized geometry; space group = No. 71; magnetization = 0.00 μB/cell
1.0
-0.3418 -0.8584 -3.2743
2.5764 -4.0563 0.7945
-5.4393 -0.0697 2.3535
Sc H Tm
2 8 1
Cartesian
-3.0300 -2.1009 -0.9004
-0.1746 -2.8835 0.7742
0.2887 -4.2290 -0.6889
-0.9036 -2.3518 -1.0566
-1.8572 -4.1966 -0.4734
-3.9389 -3.8284 -0.3527
-3.4934 -0.7554 0.5627
0.7343 -1.1561 0.2264
-1.3474 -0.7878 0.3472
-2.3010 -2.6326 0.9304
-0.1709 -0.4292 -1.6371

In eV per cell, the electronic total energy values for the records above are, in order, -26.50 -20.98 -28.44 -55.06 -380.49 -27.45 -56.68 -19.88 -21.27 -47.00 -58.63 -50.23.